Arrangement A

Entry from Alexandria: crystalline LaTcBi2Pd at its relaxed geometry (PBE).

Unit cell a=5.3388 b=5.3388 c=5.1028 alpha=90.00 beta=90.00 gamma=90.00
Space group P4/mmm (No. 123)
Inequivalent atoms, fractional coordinates:
1 La 0.0000 0.0000 0.0000
2 Tc 0.5000 0.5000 0.0000
3 Bi 0.0000 0.5000 0.5000
4 Pd 0.5000 0.5000 0.5000

Computed properties:
- DOS(E_F) (states/eV/f.u.) = 5.007



Arrangement B

Entry from Alexandria: crystalline LaTcBi2Pd at its relaxed geometry (PBE).

Unit cell a=6.0891 b=6.0891 c=4.8621 alpha=90.00 beta=90.00 gamma=90.00
Space group P4/mmm (No. 123)
Inequivalent atoms, fractional coordinates:
1 La 0.0000 0.0000 0.0000
2 Tc 0.0000 0.0000 0.5000
3 Bi 0.0000 0.5000 0.0000
4 Pd 0.5000 0.5000 0.5000

Computed properties:
- DOS(E_F) (states/eV/f.u.) = 5.141



arrangement A is the most stable structure; the next one sits 0.986 eV/atom above it.